DFT (PBE with a Hubbard U) results for a relaxed structure of PrSc4Mn3O12.

Cell: 7.7786 7.7786 7.7786 Å, 90.00 90.00 90.00°
With the nearest neighbours (Å) after each atom.
Space group Im-3 (No. 204)
Symmetry-distinct sites (fractional):
1 Pr 0.0000 0.0000 0.0000 [2 per cell]  12 O 2.74
2 Sc 0.2500 0.2500 0.2500 [8 per cell]  6 O 2.11
3 Mn 0.0000 0.0000 0.5000 [6 per cell]  4 O 1.96
4 O 0.0000 0.1657 0.3110 [24 per cell]  1 Mn 1.96, 2 Sc 2.11

Results
* magnetization: 12.0 μB per formula unit
* Fermi-level density of states: 0.00 states/eV/cell
* E: -8.3488 eV/atom